VASP calculation (PBE) on a geometry-optimized ScMnGa structure.

a = 4.3985 Å, b = 4.3985 Å, c = 3.1642 Å
α = 90.00°, β = 90.00°, γ = 120.00°
Space group P-6m2 (No. 187)
One atom of each set of equivalent atoms:
1 Sc 0.0000 0.0000 0.0000 (multiplicity 1)
2 Mn 0.6667 0.3333 0.5000 (multiplicity 1)
3 Ga 0.3333 0.6667 0.5000 (multiplicity 1)

Results
Energy of formation from the pure elements in eV per atom: -0.262
Calculated total energy in eV/cell: -19.31